Entry 1:
The following is a GGA-PBE calculation of an optimized crystal structure of Dy3Er12Tl, from Alexandria via LeMat-Bulk.

The calculation puts the formation energy from the elements at -0.02 eV per atom. Its mass density is 9.31 g cm⁻³. The value obtained for the total DFT energy (no corrections) is -4.456 eV/atom. The density of states at the Fermi level is 18.59 states/eV/f.u.

The structure belongs to space group P4/mmm (No. 123); the cell edges are 4.913, 4.913 and 19.947 Å and the angles 90.00°, 90.00° and 90.00°. The distinct sites, in fractional coordinates, are Dy at (0.000, 0.000, 0.000), Dy at (0.000, 0.000, 0.251), Er at (0.000, 0.500, 0.126), Er at (0.000, 0.500, 0.378), Er at (0.500, 0.500, 0.000), Er at (0.500, 0.500, 0.255), Er at (0.500, 0.500, 0.500) and Tl at (0.000, 0.000, 0.500).

***

Entry 2:
The following is a GGA-PBE calculation of an optimized crystal structure of MnCrCuTeAu, from Alexandria via LeMat-Bulk.

The value obtained for the formation energy (no corrections) is 0.21 eV/atom. Its mass density is 8.52 g cm⁻³. The energy above the most stable polymorph in this dataset is 86.9 meV/atom. The value obtained for the total DFT energy (no corrections) is -5.647 eV/atom. The density of states at the Fermi level is 3.44 states/eV/f.u.

The structure belongs to space group P1 (No. 1); the cell edges are 3.649, 4.160 and 6.512 Å and the angles 77.56°, 89.93° and 89.98°. The distinct sites, in fractional coordinates, are Mn at (0.000, 0.000, 0.000), Cr at (0.000, 0.613, 0.643), Cu at (0.500, 0.499, 0.965), Te at (0.500, 0.760, 0.312) and Au at (0.501, 0.101, 0.688).

***

Entry 3:
The following is a GGA-PBE calculation of an optimized crystal structure of KErMgO3, from Alexandria via LeMat-Bulk.

The value obtained for the formation energy (no corrections) is -2.61 eV/atom. Its mass density is 4.07 g cm⁻³. The value obtained for the total DFT energy (no corrections) is -6.301 eV/atom. The density of states at the Fermi level is 0.00 states/eV/f.u.

The structure belongs to space group P2_1/m (No. 11); the cell edges are 7.211, 3.515 and 9.563 Å and the angles 90.00°, 110.35° and 90.00°. The distinct sites, in fractional coordinates, are K at (0.042, 0.250, 0.340), Er at (0.461, 0.750, 0.639), Mg at (0.424, 0.250, 0.886), O at (0.266, 0.250, 0.670), O at (0.354, 0.750, 0.390) and O at (0.445, 0.250, 0.101).